VASP calculation (GGA-PBE) on crystalline TiMoH2 at its relaxed geometry.

Values from the calculation:
ΔE to the lowest computed polymorph = 0.0000 eV per atom
calculated total energy = -78.45 eV/cell

Cell: 3.0620 3.0620 13.2171 Å, 90.00 90.00 120.00°
Space group R-3m (No. 166, hexagonal axes)
Symmetry-distinct sites (fractional):
Ti 0.0000 0.0000 0.0000 [3 per cell]
Mo 0.0000 0.0000 0.5000 [3 per cell]
H 0.0000 0.0000 0.2431 [6 per cell]